3
Lattice="0.000 3.513 3.513 3.513 0.000 3.513 3.513 3.513 0.000" Properties=species:S:1:pos:R:3 comment="NaHfNp PBE relaxed" relative_energy_ev_per_atom=0.000 magmom_total_mub_per_atom=1.907 pbc="T T T"
Hf 0.000 0.000 0.000
Na 1.757 1.757 1.757
Np 5.270 5.270 5.270